Material: Sr2ScRu
Method: DFT, PBE-GGA
State: optimized geometry

abc: 3.6986 5.8732 11.3925
angles: 90.00 90.00 90.00
With the nearest neighbours (Å) after each atom.
Space group Imm2 (No. 44)
Unique sites:
Sr (0.0000, 0.0000, 0.0000) x2  4 Ru 3.49, 2 Sc 3.58, 4 Sr 3.64-3.70
Sr (0.0000, 0.5000, 0.1881) x2  2 Ru 3.15
Sc (0.0000, 0.5000, 0.8210) x2  2 Ru 2.47
Ru (0.0000, 0.0000, 0.4646) x2  2 Sc 2.47

## Properties
- volume (Å³/cell) = 247.48
- energy relative to the lowest polymorph listed for this composition (eV per atom) = 0.081